Entry 1:
DFT (meta-GGA SCAN) results for a crystal of SrMnGa3 relaxed with PBEsol.

Unit cell a=4.622 b=4.622 c=4.622 alpha=90.00 beta=90.00 gamma=90.00
Element x y z (fractional)
Sr 0.000 0.000 0.000
Mn 0.500 0.500 0.500
Ga 0.000 0.500 0.500
Ga 0.500 0.000 0.500
Ga 0.500 0.500 0.000

Summary:
The value obtained for the calculated total energy is -1.3449 Ry per atom. The value obtained for the total magnetization is 0.00 μB/f.u. The value obtained for the energy relative to the elements is -0.3839 eV/atom. The volume is 98.8 Å³ per cell. Its density of states at the Fermi level is 0.21 states/eV/atom.

=====

Entry 2:
DFT (meta-GGA SCAN) results for a crystal of SrZrSc relaxed with PBEsol.

Unit cell a=5.134 b=5.134 c=5.134 alpha=60.00 beta=60.00 gamma=60.00
Element x y z (fractional)
Sr 0.000 0.000 0.000
Zr 0.750 0.750 0.750
Sc 0.250 0.250 0.250

Summary:
The value obtained for the calculated total energy is -1.5374 Ry per atom. The value obtained for the total magnetization is 0.00 μB/f.u. The value obtained for the energy relative to the elements is 1.4868 eV/atom. The volume is 95.7 Å³ per cell. Its density of states at the Fermi level is 1.63 states/eV/atom.

=====

Entry 3:
DFT (meta-GGA SCAN) results for a crystal of ZrTePbI2 relaxed with PBEsol.

Unit cell a=5.573 b=5.573 c=5.608 alpha=90.00 beta=90.00 gamma=90.00
Element x y z (fractional)
Zr 0.000 0.000 0.000
Te 0.000 0.000 0.500
Pb 0.500 0.500 0.500
I 0.000 0.500 0.000
I 0.500 0.000 0.000

Summary:
The value obtained for the calculated total energy is -3.2099 Ry per atom. The value obtained for the total magnetization is 1.82 μB/f.u. As for the energy relative to the elements, uncorrected: -1.1 eV per formula unit. The volume is 174.1 Å³ per cell. Its density of states at the Fermi level is 0.79 states/eV/atom.

=====

Entry 4:
DFT (meta-GGA SCAN) results for a crystal of YBe2Cu relaxed with PBEsol.

Unit cell a=5.251 b=5.251 c=5.251 alpha=42.11 beta=42.11 gamma=42.11
Element x y z (fractional)
Y 0.000 0.000 0.000
Be 0.194 0.194 0.194
Be 0.806 0.806 0.806
Cu 0.500 0.500 0.500

Summary:
The value obtained for the calculated total energy is -0.9642 Ry per atom. The value obtained for the total magnetization is 0.46 μB/f.u. The value obtained for the energy relative to the elements is -0.1809 eV/atom. The volume is 58.9 Å³ per cell. The energy above the most stable polymorph in this dataset is 0.000 eV/atom. Its density of states at the Fermi level is 0.69 states/eV/atom.

=====

Entry 5:
DFT (meta-GGA SCAN) results for a crystal of Ta2CdAs relaxed with PBEsol.

Unit cell a=5.243 b=5.243 c=5.243 alpha=135.47 beta=135.47 gamma=64.80
Element x y z (fractional)
Ta 0.000 0.000 0.000
Ta 0.750 0.250 0.500
Cd 0.250 0.750 0.500
As 0.500 0.500 0.000

Summary:
The value obtained for the calculated total energy is -3.3543 Ry per atom. The value obtained for the total magnetization is 0.00 μB/f.u. The value obtained for the energy relative to the elements is 0.3051 eV/atom. The volume is 69.9 Å³ per cell. The energy above the most stable polymorph in this dataset is 0.294 eV/atom. Its density of states at the Fermi level is 0.86 states/eV/atom.

=====

Entry 6:
DFT (meta-GGA SCAN) results for a crystal of ZnSiNi2 relaxed with PBEsol.

Unit cell a=3.996 b=3.996 c=2.782 alpha=90.00 beta=90.00 gamma=90.00
Element x y z (fractional)
Zn 0.000 0.000 0.000
Si 0.500 0.500 0.000
Ni 0.000 0.500 0.500
Ni 0.500 0.000 0.500

Summary:
The value obtained for the calculated total energy is -1.0533 Ry per atom. The value obtained for the total magnetization is 0.00 μB/f.u. As for the energy relative to the elements, uncorrected: -1.4 eV per formula unit. The volume is 44.4 Å³ per cell. Its density of states at the Fermi level is 0.42 states/eV/atom.

=====

Entry 7:
DFT (meta-GGA SCAN) results for a crystal of SbAs2Au relaxed with PBEsol.

Unit cell a=3.908 b=3.908 c=5.527 alpha=90.00 beta=90.00 gamma=90.00
Element x y z (fractional)
Sb 0.000 0.000 0.000
As 0.000 0.000 0.500
As 0.500 0.500 0.500
Au 0.500 0.500 0.000

Summary:
The value obtained for the calculated total energy is -2.6963 Ry per atom. The value obtained for the total magnetization is 0.02 μB/f.u. As for the energy relative to the elements, uncorrected: 0.1 eV per formula unit. The volume is 84.4 Å³ per cell. Its density of states at the Fermi level is 0.48 states/eV/atom.

=====

Entry 8:
DFT (meta-GGA SCAN) results for a crystal of LiBe2W relaxed with PBEsol.

Unit cell a=4.073 b=4.073 c=4.073 alpha=125.03 beta=125.03 gamma=81.49
Element x y z (fractional)
Li 0.000 0.000 0.000
Be 0.250 0.750 0.500
Be 0.750 0.250 0.500
W 0.500 0.500 0.000

Summary:
The value obtained for the calculated total energy is -1.4486 Ry per atom. The value obtained for the total magnetization is 0.00 μB/f.u. The value obtained for the energy relative to the elements is 0.4874 eV/atom. The volume is 43.6 Å³ per cell. The energy above the most stable polymorph in this dataset is 0.273 eV/atom. Its density of states at the Fermi level is 0.59 states/eV/atom.

=====

Entry 9:
DFT (meta-GGA SCAN) results for a crystal of Sr2SiCCl relaxed with PBEsol.

Unit cell a=5.394 b=5.394 c=4.161 alpha=90.00 beta=90.00 gamma=90.00
Element x y z (fractional)
Sr 0.000 0.500 0.000
Sr 0.500 0.000 0.000
Si 0.000 0.000 0.500
C 0.500 0.500 0.000
Cl 0.500 0.500 0.500

Summary:
The value obtained for the calculated total energy is -1.0391 Ry per atom. The value obtained for the total magnetization is 1.54 μB/f.u. As for the energy relative to the elements, uncorrected: 2.0 eV per formula unit. The volume is 121.0 Å³ per cell. Its density of states at the Fermi level is 0.87 states/eV/atom.

=====

Entry 10:
DFT (meta-GGA SCAN) results for a crystal of MnSbP2 relaxed with PBEsol.

Unit cell a=4.079 b=4.079 c=5.665 alpha=98.86 beta=98.86 gamma=46.56
Element x y z (fractional)
Mn 0.000 0.000 0.000
Sb 0.290 0.290 0.671
P 0.527 0.527 0.304
P 0.713 0.713 0.050

Summary:
The value obtained for the calculated total energy is -1.4014 Ry per atom. The value obtained for the total magnetization is 1.23 μB/f.u. As for the energy relative to the elements, uncorrected: 0.0 eV per formula unit. The volume is 67.5 Å³ per cell. Its density of states at the Fermi level is 0.36 states/eV/atom.

=====

Entry 11:
DFT (meta-GGA SCAN) results for a crystal of Ru3WI relaxed with PBEsol.

Unit cell a=4.648 b=4.648 c=4.648 alpha=90.00 beta=90.00 gamma=90.00
Element x y z (fractional)
Ru 0.000 0.000 0.500
Ru 0.000 0.500 0.000
Ru 0.500 0.000 0.000
W 0.500 0.500 0.500
I 0.000 0.000 0.000

Summary:
The value obtained for the calculated total energy is -2.9160 Ry per atom. The value obtained for the total magnetization is 2.45 μB/f.u. As for the energy relative to the elements, uncorrected: 12.5 eV per formula unit. The volume is 100.4 Å³ per cell. Its density of states at the Fermi level is 1.06 states/eV/atom.

=====

Entry 12:
DFT (meta-GGA SCAN) results for a crystal of ReMo3 relaxed with PBEsol.

Unit cell a=2.699 b=2.699 c=8.801 alpha=90.00 beta=90.00 gamma=109.56
Element x y z (fractional)
Re 0.000 0.000 0.000
Mo 0.000 0.000 0.500
Mo 0.500 0.500 0.249
Mo 0.500 0.500 0.751

Summary:
The value obtained for the calculated total energy is -3.2271 Ry per atom. The value obtained for the total magnetization is 0.00 μB/f.u. The value obtained for the energy relative to the elements is 0.0307 eV/atom. The volume is 60.4 Å³ per cell. Its density of states at the Fermi level is 0.76 states/eV/atom.

=====

Entry 13:
DFT (meta-GGA SCAN) results for a crystal of Ba2Hg2Bi relaxed with PBEsol.

Unit cell a=8.446 b=8.446 c=4.789 alpha=90.00 beta=90.00 gamma=90.00
Element x y z (fractional)
Ba 0.182 0.318 0.000
Ba 0.318 0.818 0.000
Ba 0.682 0.182 0.000
Ba 0.818 0.682 0.000
Hg 0.121 0.621 0.500
Hg 0.379 0.121 0.500
Hg 0.621 0.879 0.500
Hg 0.879 0.379 0.500
Bi 0.000 0.000 0.500
Bi 0.500 0.500 0.500

Summary:
The value obtained for the calculated total energy is -4.3754 Ry per atom. The value obtained for the total magnetization is 0.00 μB/f.u. The value obtained for the energy relative to the elements is -0.7283 eV/atom. The volume is 341.6 Å³ per cell. Its density of states at the Fermi level is 0.46 states/eV/atom.

=====

Entry 14:
DFT (meta-GGA SCAN) results for a crystal of La2AlRu relaxed with PBEsol.

Unit cell a=4.620 b=4.620 c=7.050 alpha=108.00 beta=108.00 gamma=49.69
Element x y z (fractional)
La 0.000 0.000 0.000
La 0.163 0.163 0.566
Al 0.383 0.383 0.282
Ru 0.689 0.689 0.288

Summary:
The value obtained for the calculated total energy is -2.3975 Ry per atom. The value obtained for the total magnetization is 0.01 μB/f.u. The value obtained for the energy relative to the elements is -0.4224 eV/atom. The volume is 107.9 Å³ per cell. Its density of states at the Fermi level is 0.67 states/eV/atom.